[1]
## SrCr2TcO6 (PBE+U)

Data for a geometry-optimized SrCr2TcO6 structure.

Structure (CIF):
```
data_SrCr2TcO6
_symmetry_space_group_name_H-M 'R 3'
_symmetry_Int_Tables_number 146
_symmetry_space_group_name_Hall 'R 3'
_cell_length_a 5.3888
_cell_length_b 5.3888
_cell_length_c 14.2332
_cell_angle_alpha 90.00
_cell_angle_beta 90.00
_cell_angle_gamma 120.00
loop_
_atom_site_label
_atom_site_type_symbol
_atom_site_fract_x
_atom_site_fract_y
_atom_site_fract_z
_atom_site_occupancy
Sr1 Sr 0.0000 0.0000 0.0000 1
Cr1 Cr 0.0000 0.0000 0.2596 1
Cr2 Cr 0.0000 0.0000 0.7732 1
Tc1 Tc 0.0000 0.0000 0.4611 1
O1 O 0.0009 0.3559 0.5214 1
O2 O 0.0229 0.5792 0.0322 1
```

Output
total DFT energy (no corrections)	-75.74	eV per formula unit
total moment	9.00	μB/f.u.

---

[2]
## SrCrTc2O8 (PBE+U)

Data for a geometry-optimized SrCrTc2O8 structure.

Structure (CIF):
```
data_SrCrTc2O8
_symmetry_space_group_name_H-M 'P -3'
_symmetry_Int_Tables_number 147
_symmetry_space_group_name_Hall '-P 3'
_cell_length_a 5.6245
_cell_length_b 5.6245
_cell_length_c 6.9398
_cell_angle_alpha 90.00
_cell_angle_beta 90.00
_cell_angle_gamma 120.00
loop_
_atom_site_label
_atom_site_type_symbol
_atom_site_fract_x
_atom_site_fract_y
_atom_site_fract_z
_atom_site_occupancy
Sr1 Sr 0.0000 0.0000 0.0000 1
Cr1 Cr 0.0000 0.0000 0.5000 1
Tc1 Tc 0.3333 0.6667 0.7516 1
O1 O 0.0905 0.3117 0.6891 1
O2 O 0.3333 0.6667 0.0065 1
```

Output
DOS at the Fermi energy	7.2	states/eV per cell
total DFT energy (no corrections)	-89.71	eV per formula unit
total moment	6.00	μB/f.u.

---

[3]
## Sr2CrTcO6 (PBE+U)

Data for a geometry-optimized Sr2CrTcO6 structure.

Structure (CIF):
```
data_Sr2CrTcO6
_symmetry_space_group_name_H-M 'P 1 21/c 1'
_symmetry_Int_Tables_number 14
_symmetry_space_group_name_Hall '-P 2ybc'
_cell_length_a 5.646
_cell_length_b 5.589
_cell_length_c 9.710
_cell_angle_alpha 90.00
_cell_angle_beta 125.47
_cell_angle_gamma 90.00
loop_
_atom_site_label
_atom_site_type_symbol
_atom_site_fract_x
_atom_site_fract_y
_atom_site_fract_z
_atom_site_occupancy
Sr1 Sr 0.246 0.001 0.250 1
Cr1 Cr 0.500 0.000 0.000 1
Tc1 Tc 0.000 0.000 0.500 1
O1 O 0.214 0.250 0.469 1
O2 O 0.217 0.746 0.969 1
O3 O 0.306 0.001 0.748 1
```

Output
DOS at the Fermi energy	12.8	states/eV per cell
total DFT energy (no corrections)	-72.94	eV per formula unit
total moment	4.99	μB/f.u.

---

[4]
## SrCrTeO6 (PBE+U)

Data for a geometry-optimized SrCrTeO6 structure.

Structure (CIF):
```
data_SrCrTeO6
_symmetry_space_group_name_H-M 'P -3 1 c'
_symmetry_Int_Tables_number 163
_symmetry_space_group_name_Hall '-P 3 2c'
_cell_length_a 5.1998
_cell_length_b 5.1998
_cell_length_c 10.9103
_cell_angle_alpha 90.00
_cell_angle_beta 90.00
_cell_angle_gamma 120.00
loop_
_atom_site_label
_atom_site_type_symbol
_atom_site_fract_x
_atom_site_fract_y
_atom_site_fract_z
_atom_site_occupancy
Sr1 Sr 0.0000 0.0000 0.0000 1
Cr1 Cr 0.3333 0.6667 0.2500 1
Te1 Te 0.3333 0.6667 0.7500 1
O1 O 0.0012 0.3824 0.6493 1
```

Output
DOS at the Fermi energy	8.2	states/eV per cell
total DFT energy (no corrections)	-57.80	eV per formula unit
total moment	2.00	μB/f.u.

---

[5]
## Sr2ThCrO6 (PBE+U)

Data for a geometry-optimized Sr2ThCrO6 structure.

Structure (CIF):
```
data_Sr2ThCrO6
_symmetry_space_group_name_H-M 'C 1 2/m 1'
_symmetry_Int_Tables_number 12
_symmetry_space_group_name_Hall '-C 2y'
_cell_length_a 9.348
_cell_length_b 7.333
_cell_length_c 6.708
_cell_angle_alpha 90.00
_cell_angle_beta 128.82
_cell_angle_gamma 90.00
loop_
_atom_site_label
_atom_site_type_symbol
_atom_site_fract_x
_atom_site_fract_y
_atom_site_fract_z
_atom_site_occupancy
Sr1 Sr 0.106 0.000 0.370 1
Th1 Th 0.000 0.500 0.000 1
Cr1 Cr 0.000 0.500 0.500 1
O1 O 0.056 0.329 0.341 1
O2 O 0.208 0.000 0.796 1
```

Output
DOS at the Fermi energy	13.4	states/eV per cell
total DFT energy (no corrections)	-97.19	eV per formula unit
total moment	1.95	μB/f.u.

---

[6]
## Sr3Ti2CrO9 (PBE+U)

Data for a geometry-optimized Sr3Ti2CrO9 structure.

Structure (CIF):
```
data_Sr3Ti2CrO9
_symmetry_space_group_name_H-M 'P -3 m 1'
_symmetry_Int_Tables_number 164
_symmetry_space_group_name_Hall '-P 3 2"'
_cell_length_a 5.5405
_cell_length_b 5.5405
_cell_length_c 6.8008
_cell_angle_alpha 90.00
_cell_angle_beta 90.00
_cell_angle_gamma 120.00
loop_
_atom_site_label
_atom_site_type_symbol
_atom_site_fract_x
_atom_site_fract_y
_atom_site_fract_z
_atom_site_occupancy
Sr1 Sr 0.0000 0.0000 0.0000 1
Sr2 Sr 0.3333 0.6667 0.6664 1
Ti1 Ti 0.3333 0.6667 0.1689 1
Cr1 Cr 0.0000 0.0000 0.5000 1
O1 O 0.0000 0.5000 0.0000 1
O2 O 0.1650 0.3299 0.3344 1
```

Output
total DFT energy (no corrections)	-115.33	eV per formula unit
total moment	2.02	μB/f.u.

---

[7]
## SrTiCrO6 (PBE+U)

Data for a geometry-optimized SrTiCrO6 structure.

Structure (CIF):
```
data_SrTiCrO6
_symmetry_space_group_name_H-M 'P 3'
_symmetry_Int_Tables_number 143
_symmetry_space_group_name_Hall 'P 3'
_cell_length_a 5.1077
_cell_length_b 5.1077
_cell_length_c 5.3829
_cell_angle_alpha 90.00
_cell_angle_beta 90.00
_cell_angle_gamma 120.00
loop_
_atom_site_label
_atom_site_type_symbol
_atom_site_fract_x
_atom_site_fract_y
_atom_site_fract_z
_atom_site_occupancy
Sr1 Sr 0.0000 0.0000 0.0000 1
Ti1 Ti 0.3333 0.6667 0.4283 1
Cr1 Cr 0.6667 0.3333 0.5265 1
O1 O 0.3892 0.0179 0.6770 1
O2 O 0.3962 0.3783 0.2790 1
```

Output
DOS at the Fermi energy	0.0	states/eV per cell
total DFT energy (no corrections)	-66.32	eV per formula unit
total moment	0.00	μB/f.u.

---

[8]
## SrTiCr2O8 (PBE+U)

Data for a geometry-optimized SrTiCr2O8 structure.

Structure (CIF):
```
data_SrTiCr2O8
_symmetry_space_group_name_H-M 'P -3 m 1'
_symmetry_Int_Tables_number 164
_symmetry_space_group_name_Hall '-P 3 2"'
_cell_length_a 5.5225
_cell_length_b 5.5225
_cell_length_c 6.8008
_cell_angle_alpha 90.00
_cell_angle_beta 90.00
_cell_angle_gamma 120.00
loop_
_atom_site_label
_atom_site_type_symbol
_atom_site_fract_x
_atom_site_fract_y
_atom_site_fract_z
_atom_site_occupancy
Sr1 Sr 0.0000 0.0000 0.0000 1
Ti1 Ti 0.0000 0.0000 0.5000 1
Cr1 Cr 0.3333 0.6667 0.7584 1
O1 O 0.1605 0.3210 0.6784 1
O2 O 0.3333 0.6667 0.0021 1
```

Output
DOS at the Fermi energy	4.9	states/eV per cell
total DFT energy (no corrections)	-88.19	eV per formula unit
total moment	2.00	μB/f.u.

---

[9]
## SrTlCrO4 (PBE+U)

Data for a geometry-optimized SrTlCrO4 structure.

Structure (CIF):
```
data_SrTlCrO4
_symmetry_space_group_name_H-M 'P 1 21/m 1'
_symmetry_Int_Tables_number 11
_symmetry_space_group_name_Hall '-P 2yb'
_cell_length_a 6.412
_cell_length_b 5.876
_cell_length_c 7.780
_cell_angle_alpha 90.00
_cell_angle_beta 105.24
_cell_angle_gamma 90.00
loop_
_atom_site_label
_atom_site_type_symbol
_atom_site_fract_x
_atom_site_fract_y
_atom_site_fract_z
_atom_site_occupancy
Sr1 Sr 0.217 0.250 0.093 1
Tl1 Tl 0.244 0.250 0.622 1
Cr1 Cr 0.269 0.750 0.859 1
O1 O 0.092 0.516 0.835 1
O2 O 0.403 0.750 0.697 1
O3 O 0.436 0.750 0.069 1
```

Output
total DFT energy (no corrections)	-43.55	eV per formula unit
total moment	1.00	μB/f.u.

---

[10]
## Sr2YTlCr2O7 (PBE+U)

Data for a geometry-optimized Sr2YTlCr2O7 structure.

Structure (CIF):
```
data_Sr2YTlCr2O7
_symmetry_space_group_name_H-M 'P 4/m m m'
_symmetry_Int_Tables_number 123
_symmetry_space_group_name_Hall '-P 4 2'
_cell_length_a 3.881
_cell_length_b 3.881
_cell_length_c 12.808
_cell_angle_alpha 90.00
_cell_angle_beta 90.00
_cell_angle_gamma 90.00
loop_
_atom_site_label
_atom_site_type_symbol
_atom_site_fract_x
_atom_site_fract_y
_atom_site_fract_z
_atom_site_occupancy
Sr1 Sr 0.000 0.000 0.192 1
Y1 Y 0.000 0.000 0.500 1
Tl1 Tl 0.500 0.500 0.000 1
Cr1 Cr 0.500 0.500 0.355 1
O1 O 0.000 0.000 0.000 1
O2 O 0.000 0.500 0.388 1
O3 O 0.500 0.500 0.205 1
```

Output
DOS at the Fermi energy	1.8	states/eV per cell
total DFT energy (no corrections)	-91.01	eV per formula unit
total moment	6.38	μB/f.u.

---

[11]
## SrTmCr2O8 (PBE+U)

Data for a geometry-optimized SrTmCr2O8 structure.

Structure (CIF):
```
data_SrTmCr2O8
_symmetry_space_group_name_H-M 'I -4 m 2'
_symmetry_Int_Tables_number 119
_symmetry_space_group_name_Hall 'I -4 -2'
_cell_length_a 7.325
_cell_length_b 7.325
_cell_length_c 6.369
_cell_angle_alpha 90.00
_cell_angle_beta 90.00
_cell_angle_gamma 90.00
loop_
_atom_site_label
_atom_site_type_symbol
_atom_site_fract_x
_atom_site_fract_y
_atom_site_fract_z
_atom_site_occupancy
Sr1 Sr 0.000 0.000 0.000 1
Tm1 Tm 0.000 0.500 0.750 1
Cr1 Cr 0.000 0.000 0.500 1
Cr2 Cr 0.000 0.500 0.250 1
O1 O 0.000 0.194 0.658 1
O2 O 0.000 0.327 0.083 1
```

Output
DOS at the Fermi energy	1.3	states/eV per cell
total DFT energy (no corrections)	-86.24	eV per formula unit
total moment	1.00	μB/f.u.

---

[12]
## SrU2CrO8 (PBE+U)

Data for a geometry-optimized SrU2CrO8 structure.

Structure (CIF):
```
data_SrU2CrO8
_symmetry_space_group_name_H-M 'C m m m'
_symmetry_Int_Tables_number 65
_symmetry_space_group_name_Hall '-C 2 2'
_cell_length_a 6.897
_cell_length_b 7.547
_cell_length_c 7.020
_cell_angle_alpha 90.00
_cell_angle_beta 90.00
_cell_angle_gamma 90.00
loop_
_atom_site_label
_atom_site_type_symbol
_atom_site_fract_x
_atom_site_fract_y
_atom_site_fract_z
_atom_site_occupancy
Sr1 Sr 0.000 0.000 0.000 1
U1 U 0.000 0.500 0.257 1
Cr1 Cr 0.000 0.000 0.500 1
O1 O 0.000 0.328 0.500 1
O2 O 0.000 0.334 0.000 1
O3 O 0.212 0.000 0.281 1
```

Output
total DFT energy (no corrections)	-105.89	eV per formula unit
total moment	4.00	μB/f.u.

---

- Number 8 is which compound?
  SrTiCr2O8